Record 1
Density functional theory data (PBE with a Hubbard U) for a relaxed structure of PuNiO6.

The calculation puts the electronic total energy at -6.8261 eV/atom. The value obtained for the volume is 15.5 Å³ per atom.

The space group is C2/m (No. 12) and the conventional cell measures 5.193, 9.098 and 5.339 Å, with angles of 90.00, 100.90 and 90.00 degrees. Symmetry generates all atoms from Pu at (0.000, 0.000, 0.000), Ni at (0.000, 0.000, 0.500), O at (0.137, 0.134, 0.285) and O at (0.224, 0.500, 0.211).

***

Record 2
Density functional theory data (PBE with a Hubbard U) for a relaxed structure of RbPuNiO6.

The calculation puts the electronic total energy at -6.8536 eV/atom. The value obtained for the volume is 17.1 Å³ per atom.

The space group is P-31c (No. 163) and the conventional cell measures 5.2729, 5.2729 and 12.8151 Å, with angles of 90.00, 90.00 and 120.00 degrees. Symmetry generates all atoms from Rb at (0.0000, 0.0000, 0.0000), Pu at (0.3333, 0.6667, 0.2500), Ni at (0.3333, 0.6667, 0.7500) and O at (0.0044, 0.3820, 0.1631).

***

Record 3
Density functional theory data (PBE with a Hubbard U) for a relaxed structure of RbPu2NiO8.

The calculation puts the electronic total energy at -7.6308 eV/atom. The value obtained for the volume is 20.7 Å³ per atom.

The space group is P-3m1 (No. 164) and the conventional cell measures 6.2752, 6.2752 and 7.2822 Å, with angles of 90.00, 90.00 and 120.00 degrees. Symmetry generates all atoms from Rb at (0.0000, 0.0000, 0.0000), Pu at (0.3333, 0.6667, 0.3279), Ni at (0.0000, 0.0000, 0.5000), O at (0.1533, 0.3066, 0.3410) and O at (0.3333, 0.6667, 0.0696).